A relaxed structure of AsRuW. Source: the Alexandria database, functional GGA-PBE.

a b c (Å): 4.223 4.223 4.223
angles (deg): 60.00 60.00 60.00
Sites, in units of the cell vectors:
1 As 0.000 0.000 0.000
2 W 0.750 0.750 0.750
3 Ru 0.500 0.500 0.500

Magnetization = 0.00 μB/cell
Energy of formation from the pure elements = 0.331 eV per atom
ΔE to the lowest computed polymorph = 253.5 meV per atom

---

A relaxed structure of As2RuW. Source: the Alexandria database, functional GGA-PBE.

a b c (Å): 10.488 10.488 10.488
angles (deg): 15.98 15.98 15.98
Sites, in units of the cell vectors:
1 W 0.758 0.758 0.758
2 As 0.223 0.223 0.223
3 As 0.024 0.024 0.024
4 Ru 0.495 0.495 0.495

Magnetization = 0.00 μB/cell
Energy of formation from the pure elements = 0.093 eV per atom
ΔE to the lowest computed polymorph = 96.5 meV per atom

---

A relaxed structure of Y2As2Ru. Source: the Alexandria database, functional GGA-PBE.

a b c (Å): 6.748 6.748 4.372
angles (deg): 90.00 90.00 90.00
Sites, in units of the cell vectors:
1 As 0.856 0.644 0.000
2 As 0.644 0.144 0.000
3 As 0.356 0.856 0.000
4 As 0.144 0.356 0.000
5 Y 0.172 0.672 0.500
6 Y 0.672 0.828 0.500
7 Y 0.828 0.328 0.500
8 Y 0.328 0.172 0.500
9 Ru 0.000 0.000 0.000
10 Ru 0.500 0.500 0.000

Magnetization = 0.00 μB/cell
Energy of formation from the pure elements = -0.917 eV per atom

---

A relaxed structure of YAsRu3. Source: the Alexandria database, functional GGA-PBE.

a b c (Å): 4.890 4.890 4.890
angles (deg): 90.00 90.00 90.00
Last column: magnetic moment on the atom in μB.
Sites, in units of the cell vectors:
1 Ru 0.500 0.000 0.000  1.57
2 Ru 0.000 0.500 0.000  1.55
3 Ru 0.000 0.000 0.500  1.30
4 Y 0.000 0.000 0.000  -0.13
5 As 0.500 0.500 0.500  -0.04

Magnetization = 4.35 μB/cell
Energy of formation from the pure elements = 2.053 eV per atom

---

A relaxed structure of Y2As7Ru12. Source: the Alexandria database, functional GGA-PBE.

a b c (Å): 4.024 9.760 9.760
angles (deg): 120.00 90.00 90.00
Sites, in units of the cell vectors:
1 Ru 0.000 0.760 0.727
2 Ru 0.000 0.449 0.507
3 Ru 0.000 0.273 0.032
4 Ru 0.000 0.058 0.551
5 Ru 0.500 0.543 0.759
6 Ru 0.500 0.241 0.784
7 Ru 0.500 0.385 0.279
8 Ru 0.000 0.968 0.240
9 Ru 0.500 0.721 0.106
10 Ru 0.500 0.894 0.615
11 Ru 0.500 0.216 0.457
12 Ru 0.000 0.493 0.942
13 As 0.000 0.753 0.968
14 As 0.500 0.449 0.069
15 As 0.000 0.216 0.247
16 As 0.500 0.620 0.551
17 As 0.000 0.333 0.667
18 As 0.500 0.931 0.380
19 As 0.000 0.032 0.784
20 Y 0.500 0.000 0.000
21 Y 0.000 0.667 0.333

Magnetization = 0.00 μB/cell
Energy of formation from the pure elements = -0.423 eV per atom

---

A relaxed structure of Zn2AsRu. Source: the Alexandria database, functional GGA-PBE.

a b c (Å): 4.993 4.993 4.993
angles (deg): 136.39 136.32 63.43
Sites, in units of the cell vectors:
1 Ru 0.250 0.750 0.500
2 Zn 0.500 0.500 0.000
3 Zn 0.000 0.000 0.000
4 As 0.750 0.250 0.500

Magnetization = 0.00 μB/cell
Energy of formation from the pure elements = 0.034 eV per atom

---

A relaxed structure of Zn2AsRu. Source: the Alexandria database, functional GGA-PBE.

a b c (Å): 3.931 3.218 5.252
angles (deg): 71.62 90.00 90.00
Sites, in units of the cell vectors:
1 Ru 0.500 0.555 0.763
2 Zn 0.000 0.952 0.962
3 Zn 0.500 0.299 0.287
4 As 0.000 0.695 0.487

Magnetization = 0.00 μB/cell
Energy of formation from the pure elements = 0.016 eV per atom

---

A relaxed structure of Zn2AsRu. Source: the Alexandria database, functional GGA-PBE.

a b c (Å): 4.840 2.926 4.401
angles (deg): 96.79 90.00 90.00
Last column: magnetic moment on the atom in μB.
Sites, in units of the cell vectors:
1 Ru 0.500 0.750 0.750  0.16
2 Zn 0.000 0.025 0.988  0.00
3 Zn 0.000 0.475 0.512  0.00
4 As 0.500 0.250 0.250  0.00

Magnetization = 0.16 μB/cell
Energy of formation from the pure elements = 0.115 eV per atom

---

A relaxed structure of Zn2AsRu. Source: the Alexandria database, functional GGA-PBE.

a b c (Å): 8.449 8.449 8.449
angles (deg): 20.57 20.57 20.57
Sites, in units of the cell vectors:
1 Zn 0.252 0.252 0.252
2 Zn 0.005 0.005 0.005
3 As 0.489 0.489 0.489
4 Ru 0.754 0.754 0.754

Magnetization = 0.00 μB/cell
Energy of formation from the pure elements = 0.007 eV per atom

---

A relaxed structure of Zn4AsRu. Source: the Alexandria database, functional GGA-PBE.

a b c (Å): 5.008 5.008 5.008
angles (deg): 60.00 60.00 60.00
Sites, in units of the cell vectors:
1 As 0.750 0.750 0.750
2 Zn 0.374 0.374 0.878
3 Zn 0.878 0.374 0.374
4 Zn 0.374 0.878 0.374
5 Zn 0.374 0.374 0.374
6 Ru 0.000 0.000 0.000

Magnetization = 0.00 μB/cell
Energy of formation from the pure elements = 0.121 eV per atom

---

A relaxed structure of Zn2AsRu. Source: the Alexandria database, functional GGA-PBE.

a b c (Å): 8.641 8.641 8.641
angles (deg): 19.50 19.50 19.50
Last column: magnetic moment on the atom in μB.
Sites, in units of the cell vectors:
1 Ru 0.750 0.750 0.750  0.19
2 Zn 0.496 0.496 0.496  0.00
3 Zn 0.004 0.004 0.004  0.00
4 As 0.250 0.250 0.250  0.00

Magnetization = 0.19 μB/cell
Energy of formation from the pure elements = 0.177 eV per atom

---

A relaxed structure of Zn2AsRu. Source: the Alexandria database, functional GGA-PBE.

a b c (Å): 4.404 4.404 4.404
angles (deg): 60.00 60.00 60.00
Sites, in units of the cell vectors:
1 As 0.500 0.500 0.500
2 Ru 0.750 0.750 0.750
3 Zn 0.000 0.000 0.000
4 Zn 0.250 0.250 0.250

Magnetization = 0.00 μB/cell
Energy of formation from the pure elements = 0.191 eV per atom

---

Number 1: raw total energy -25.89 eV for the cell shown. Number 2: raw total energy -31.16 eV for the cell shown. Number 3: raw total energy -72.18 eV for the cell shown. Number 4: raw total energy -28.68 eV for the cell shown. Number 5: raw total energy -165.67 eV for the cell shown. Number 6: raw total energy -16.34 eV for the cell shown. Number 7: raw total energy -16.41 eV for the cell shown. Number 8: raw total energy -16.01 eV for the cell shown. Number 9: raw total energy -16.45 eV for the cell shown. Number 10: raw total energy -18.29 eV for the cell shown. Number 11: raw total energy -15.77 eV for the cell shown. Number 12: raw total energy -15.71 eV for the cell shown.